(1)
An optimized crystal structure of MnOs2Ru4, computed with PBE.

a = 6.461 Å, b = 6.461 Å, c = 4.732 Å
α = 128.87°, β = 111.95°, γ = 105.46°
Site moments in Bohr magnetons follow the coordinates.
Element x y z (fractional)
Mn: 0.035 0.924 0.959  2.63
Os: 0.658 0.271 0.454  -0.10
Os: 0.183 0.797 0.454  -0.10
Ru: 0.384 0.445 0.238  -0.11
Ru: 0.219 0.571 0.790  -0.07
Ru: 0.793 0.854 0.238  -0.11
Ru: 0.728 0.138 0.866  -0.12

Uncorrected energy = -9.51 eV per atom
Calculated volume = 102.7 Å³/f.u.
Total moment = 0.30 μB per atom



(2)
An optimized crystal structure of Pr2DyMnSe5, computed with PBE.

a = 4.097 Å, b = 8.971 Å, c = 12.559 Å
α = 90.00°, β = 90.00°, γ = 103.20°
Site moments in Bohr magnetons follow the coordinates.
Element x y z (fractional)
Pr: 0.881 0.763 0.844  0.01
Pr: 0.121 0.242 0.694  -0.03
Pr: 0.119 0.237 0.344  0.01
Pr: 0.879 0.758 0.194  -0.03
Dy: 0.818 0.635 0.524  -0.01
Dy: 0.182 0.365 0.024  -0.01
Mn: 0.554 0.108 0.926  3.79
Mn: 0.446 0.892 0.426  3.79
Se: 0.345 0.691 0.018  0.02
Se: 0.692 0.383 0.860  0.03
Se: 0.495 0.990 0.751  0.04
Se: 0.303 0.605 0.685  0.02
Se: 0.983 0.966 0.523  0.05
Se: 0.655 0.309 0.518  0.02
Se: 0.308 0.617 0.360  0.03
Se: 0.505 0.010 0.251  0.04
Se: 0.697 0.395 0.185  0.02
Se: 0.017 0.034 0.023  0.05

Calculated volume = 224.7 Å³/f.u.
Total moment = 0.48 μB per atom
Raw formation energy = -35.98 kcal/mol of atoms



(3)
An optimized crystal structure of Cr4RhPb, computed with PBE.

a = 4.907 Å, b = 4.907 Å, c = 4.907 Å
α = 60.00°, β = 60.00°, γ = 60.00°
Element x y z (fractional)
Cr: 0.873 0.376 0.376
Cr: 0.376 0.376 0.873
Cr: 0.376 0.873 0.376
Cr: 0.376 0.376 0.376
Rh: 0.000 0.000 0.000
Pb: 0.750 0.750 0.750

Uncorrected energy = -7.86 eV per atom
Calculated volume = 83.6 Å³/f.u.
Total moment = 0.00 μB per atom